w:
A relaxed structure of Ta4Ga2H, computed with PBE.

abc: 7.555 9.710 2.966
angles: 90.00 90.00 90.00
Positions (direct):
Ta 0.132 0.184 0.000
Ta 0.198 0.912 0.500
Ta 0.302 0.412 0.500
Ta 0.368 0.684 0.000
Ta 0.632 0.316 0.000
Ta 0.698 0.588 0.500
Ta 0.802 0.088 0.500
Ta 0.868 0.816 0.000
Ga 0.063 0.627 0.500
Ga 0.437 0.127 0.500
Ga 0.563 0.873 0.500
Ga 0.937 0.373 0.500
H 0.000 0.000 0.000
H 0.500 0.500 0.000

Values from the calculation:
- V (A^3/atom) = 15.54



x:
A relaxed structure of Ta4Ga2H, computed with PBE.

abc: 7.675 7.675 7.675
angles: 150.74 150.74 41.86
Positions (direct):
Ta 0.000 0.500 0.500
Ta 0.173 0.173 0.000
Ta 0.500 0.000 0.500
Ta 0.827 0.827 0.000
Ga 0.359 0.359 0.000
Ga 0.641 0.641 0.000
H 0.000 0.000 0.000

Values from the calculation:
- V (A^3/atom) = 15.39



x ends up most stable, edging out the next structure by 43 meV/atom.



w:
A relaxed structure of Ta2GaH2, computed with PBE.

abc: 6.340 6.340 2.881
angles: 90.00 90.00 90.00
Positions (direct):
Ta 0.151 0.349 0.000
Ta 0.349 0.849 0.000
Ta 0.651 0.151 0.000
Ta 0.849 0.651 0.000
Ga 0.000 0.000 0.500
Ga 0.500 0.500 0.500
H 0.103 0.603 0.500
H 0.397 0.103 0.500
H 0.603 0.897 0.500
H 0.897 0.397 0.500

Values from the calculation:
- V (A^3/atom) = 11.58



x:
A relaxed structure of Ta2GaH2, computed with PBE.

abc: 5.137 5.137 5.624
angles: 103.41 103.41 119.34
Positions (direct):
Ta 0.050 0.950 0.750
Ta 0.299 0.701 0.250
Ta 0.701 0.299 0.750
Ta 0.950 0.050 0.250
Ga 0.375 0.625 0.750
Ga 0.625 0.375 0.250
H 0.006 0.757 0.014
H 0.243 0.994 0.486
H 0.757 0.006 0.514
H 0.994 0.243 0.986

Values from the calculation:
- V (A^3/atom) = 11.49



y:
A relaxed structure of Ta2GaH2, computed with PBE.

abc: 4.845 4.845 4.845
angles: 131.64 131.64 70.80
Positions (direct):
Ta 0.250 0.750 0.500
Ta 0.750 0.250 0.500
Ga 0.000 0.000 0.000
H 0.337 0.337 0.000
H 0.663 0.663 0.000

Values from the calculation:
- V (A^3/atom) = 12.44



x ends up most stable, edging out the next structure by 155 meV/atom.